--- P ---
Re2PbS: relaxed, GGA-PBE.

Unit cell a=6.4306 b=6.4306 c=6.4306 alpha=90.00 beta=90.00 gamma=90.00
Space group Fm-3m (No. 225)
Asymmetric unit:
Re 0.2500 0.2500 0.2500 x8
Pb 0.0000 0.0000 0.0000 x4
S 0.0000 0.0000 0.5000 x4

Computed properties:
- density of states at the Fermi level (states/eV/atom) = 1.094

=====

--- Q ---
Re2PbS: relaxed, GGA-PBE.

Unit cell a=6.1460 b=6.1460 c=9.4137 alpha=90.00 beta=90.00 gamma=90.00
Space group I-42d (No. 122)
Asymmetric unit:
Re 0.1772 0.2500 0.1250 x8
Pb 0.0000 0.0000 0.5000 x4
S 0.0000 0.0000 0.0000 x4

Computed properties:
- density of states at the Fermi level (states/eV/atom) = 1.404

=====

Which structure is the most stable? The one labeled P.

=====

--- P ---
Re2PbSe: relaxed, GGA-PBE.

Unit cell a=3.0910 b=4.6725 c=10.3103 alpha=90.00 beta=90.00 gamma=90.00
Space group Imm2 (No. 44)
Asymmetric unit:
Re 0.0000 0.0000 0.0000 x2
Re 0.0000 0.5000 0.2933 x2
Pb 0.0000 0.0000 0.5146 x2
Se 0.0000 0.5000 0.7259 x2

Computed properties:
- density of states at the Fermi level (states/eV/atom) = 0.990

=====

--- Q ---
Re2PbSe: relaxed, GGA-PBE.

Unit cell a=4.3040 b=4.2665 c=4.7372 alpha=90.00 beta=95.86 gamma=90.00
Space group P2/m (No. 10)
Asymmetric unit:
Re 0.2315 0.0000 0.1447 x2
Pb 0.0000 0.5000 0.5000 x1
Se 0.5000 0.5000 0.0000 x1

Computed properties:
- density of states at the Fermi level (states/eV/atom) = 0.578

=====

Which structure is the most stable? The one labeled Q.

=====

--- P ---
Re2PbSe: relaxed, GGA-PBE.

Unit cell a=4.6214 b=4.6214 c=3.2486 alpha=90.00 beta=90.00 gamma=90.00
Space group P4/mmm (No. 123)
Asymmetric unit:
Re 0.0000 0.5000 0.0000 x2
Pb 0.0000 0.0000 0.5000 x1
Se 0.5000 0.5000 0.5000 x1

Computed properties:
- density of states at the Fermi level (states/eV/atom) = 1.007

=====

--- Q ---
Re2PbSe: relaxed, GGA-PBE.

Unit cell a=6.6414 b=6.6414 c=6.6414 alpha=90.00 beta=90.00 gamma=90.00
Space group F-43m (No. 216)
Asymmetric unit:
Re 0.0000 0.0000 0.0000 x4
Re 0.2500 0.2500 0.2500 x4
Pb 0.0000 0.0000 0.5000 x4
Se 0.2500 0.2500 0.7500 x4

Computed properties:
- density of states at the Fermi level (states/eV/atom) = 0.988

=====

Which structure is the most stable? The one labeled P.